Record 1
A geometry-optimized Dy2ErS3 structure. Source: OQMD via LeMat-Bulk, functional PBE.

Values from the calculation:
The electronic total energy comes out at -0.2330 hartree per atom.

POSCAR file:
```
Dy2ErS3
1.0
3.882 0.000 0.000
-1.941 3.362 0.000
0.000 0.000 9.529
Dy S Er
2 3 1
Direct
0.667 0.333 0.833
0.333 0.667 0.167
0.667 0.333 0.336
0.000 0.000 0.000
0.333 0.667 0.664
0.000 0.000 0.500
```

Record 2
A geometry-optimized DyErS4 structure. Source: OQMD via LeMat-Bulk, functional PBE.

Values from the calculation:
The electronic total energy comes out at -0.2206 hartree per atom.

POSCAR file:
```
DyErS4
1.0
4.377 -2.173 0.000
4.377 2.173 0.000
-0.713 0.000 7.151
S Er Dy
4 1 1
Direct
0.139 0.139 0.344
0.607 0.607 0.948
0.862 0.862 0.659
0.392 0.392 0.048
0.177 0.177 0.722
0.823 0.823 0.278
```

Record 3
A geometry-optimized Dy2Y2ErS7 structure. Source: OQMD via LeMat-Bulk, functional PBE.

Values from the calculation:
The electronic total energy comes out at -0.2466 hartree per atom.

POSCAR file:
```
Dy2Y2ErS7
1.0
-5.231 -3.453 2.319
-4.399 -4.910 -1.096
9.159 -5.436 4.551
Dy S Er Y
2 7 1 2
Direct
0.112 0.112 0.421
0.888 0.888 0.579
0.657 0.657 0.051
0.343 0.343 0.949
0.500 0.500 0.500
0.259 0.259 0.648
0.959 0.959 0.214
0.041 0.041 0.786
0.741 0.741 0.352
0.000 0.000 0.000
0.700 0.700 0.812
0.300 0.300 0.188
```

Record 4
A geometry-optimized Dy2Y2ErS7 structure. Source: OQMD via LeMat-Bulk, functional PBE.

Values from the calculation:
The electronic total energy comes out at -0.2466 hartree per atom.

POSCAR file:
```
Dy2Y2ErS7
1.0
6.406 -1.901 0.000
6.406 1.901 0.000
-2.918 0.000 11.216
S Y Dy Er
7 2 2 1
Direct
0.041 0.041 0.787
0.342 0.342 0.950
0.658 0.658 0.050
0.500 0.500 0.500
0.959 0.959 0.213
0.741 0.741 0.352
0.259 0.259 0.648
0.112 0.112 0.421
0.888 0.888 0.579
0.700 0.700 0.812
0.300 0.300 0.188
0.000 0.000 0.000
```